V2TePdSe PBE optimized geometry; DOS at the Fermi energy = 7.8 states/eV/f.u.; formation energy (no corrections) = 0.87 eV/atom; total moment = 6.1 μB per cell; electronic total energy = -5.143 eV per atom; theoretical density = 5.52 g/cm3
1.0
5.085 0.000 0.000
0.000 5.085 0.000
0.000 0.000 4.830
V Te Pd Se
2 1 1 1
Direct
0.000 0.500 0.000
0.500 0.000 0.000
0.000 0.000 0.500
0.000 0.000 0.000
0.500 0.500 0.500

=====

Li4U3RhS8 PBE optimized geometry; DOS at the Fermi energy = 10.3 states/eV/f.u.; formation energy (no corrections) = -1.23 eV/atom; total moment = 7.3 μB per cell; electronic total energy = -6.347 eV per atom; theoretical density = 6.06 g/cm3
1.0
3.713 2.144 6.317
-3.713 2.144 6.317
0.000 -4.288 6.317
Li U Rh S
4 3 1 8
Direct
0.000 0.000 0.000
0.000 0.500 0.500
0.500 0.000 0.500
0.500 0.500 0.000
0.000 0.000 0.500
0.000 0.500 0.000
0.500 0.000 0.000
0.500 0.500 0.500
0.255 0.255 0.255
0.257 0.257 0.736
0.257 0.736 0.257
0.264 0.743 0.743
0.736 0.257 0.257
0.743 0.264 0.743
0.743 0.743 0.264
0.745 0.745 0.745

=====

TcNi2Au PBE optimized geometry; DOS at the Fermi energy = 3.7 states/eV/f.u.; total moment = 0.4 μB per cell; formation energy = 0.16 eV/atom; electronic total energy = -6.144 eV per atom; theoretical density = 12.64 g/cm3
1.0
2.704 0.000 0.000
0.000 2.704 0.000
0.000 0.000 7.409
Tc Ni Au
1 2 1
Direct
0.000 0.000 0.000
0.000 0.000 0.558
0.500 0.500 0.773
0.500 0.500 0.295

=====

Eu2AlZn PBE optimized geometry; DOS at the Fermi energy = 9.0 states/eV/f.u.; total moment = 14.0 μB per cell; formation energy = -0.24 eV/atom; electronic total energy = -6.631 eV per atom; theoretical density = 6.13 g/cm3
1.0
3.748 0.000 0.000
0.000 3.748 0.000
0.000 0.000 7.642
Eu Al Zn
2 1 1
Direct
0.000 0.000 0.248
0.000 0.000 0.752
0.500 0.500 0.500
0.500 0.500 0.000

=====

TaCdAs2W PBE optimized geometry; DOS at the Fermi energy = 4.7 states/eV/f.u.; total moment = 0.0 μB per cell; formation energy = 0.91 eV/atom; electronic total energy = -6.092 eV per atom; theoretical density = 8.65 g/cm3
1.0
4.806 0.000 0.000
0.000 4.806 0.000
0.000 0.000 5.214
Ta Cd As W
1 1 2 1
Direct
0.000 0.000 0.000
0.500 0.500 0.000
0.000 0.500 0.500
0.500 0.000 0.500
0.000 0.000 0.500

=====

KScTi PBE optimized geometry; DOS at the Fermi energy = 4.4 states/eV/f.u.; total moment = 1.5 μB per cell; formation energy = 0.34 eV/atom; electronic total energy = -4.770 eV per atom; theoretical density = 2.22 g/cm3
1.0
3.248 0.000 0.000
0.000 4.659 0.000
-1.378 0.000 13.040
K Sc Ti
2 2 2
Direct
0.152 0.250 0.356
0.848 0.750 0.644
0.440 0.250 0.859
0.560 0.750 0.141
0.019 0.250 0.046
0.981 0.750 0.954

=====

- Which value of DOS at the Fermi energy does entry 2 give?
  10.3 states/eV/f.u.